Record 1
! CeSiHIr2 | the Alexandria database | PBE | relaxed; values from VASP
&SYSTEM
  ibrav = 0, nat = 10, ntyp = 4
/
ATOMIC_SPECIES
Ce 140.12 Ce.upf
Si 28.09 Si.upf
H 1.01 H.upf
Ir 192.22 Ir.upf
CELL_PARAMETERS angstrom
1.967 -5.455 0.000
1.967 5.455 0.000
0.000 0.000 6.978
ATOMIC_POSITIONS crystal
Ce 0.068 0.932 0.750
Ce 0.932 0.068 0.250
Si 0.214 0.786 0.250
Si 0.786 0.214 0.750
H 0.500 0.500 0.000
H 0.500 0.500 0.500
Ir 0.339 0.661 0.550
Ir 0.339 0.661 0.950
Ir 0.661 0.339 0.050
Ir 0.661 0.339 0.450
! density of states at the Fermi level	6.55	states/eV per cell
! uncorrected energy	-7.2245	eV per atom

Record 2
! SrSi2Tc4 | the Alexandria database | PBE | relaxed; values from VASP
&SYSTEM
  ibrav = 0, nat = 7, ntyp = 3
/
ATOMIC_SPECIES
Sr 87.62 Sr.upf
Si 28.09 Si.upf
Tc 98.00 Tc.upf
CELL_PARAMETERS angstrom
2.092 -7.044 0.000
2.092 7.044 0.000
0.000 0.000 4.175
ATOMIC_POSITIONS crystal
Sr 0.000 0.000 0.000
Si 0.405 0.595 0.500
Si 0.595 0.405 0.500
Tc 0.193 0.807 0.500
Tc 0.302 0.698 0.000
Tc 0.698 0.302 0.000
Tc 0.807 0.193 0.500
! energy relative to the elements, uncorrected	-0.307	eV/atom
! density of states at the Fermi level	6.84	states/eV per cell
! uncorrected energy	-8.0197	eV per atom